Here is a relaxed structure of NiH2S6 from Alexandria via LeMat-Bulk. Energies are from PBE.

The value obtained for the energy is -4.13 eV per atom.

The structure belongs to space group P-1 (No. 2); the cell edges are 5.689, 6.375 and 6.457 Å and the angles 70.01°, 81.37° and 85.27°. The inequivalent atoms are Ni at (0.000, 0.000, 0.000), H at (0.016, 0.044, 0.522), S at (0.181, 0.314, 0.815), S at (0.330, 0.805, 0.967) and S at (0.472, 0.791, 0.239).